# 1
An optimized crystal structure of SnRhN2O, computed with PBE-GGA.

E_form (uncorrected) in eV/atom: 1.2822
N(E_F) in states/eV per cell: 6.25
Calculated volume in Å³ per cell: 68
Symmetry: P4/mmm (123)

a = 4.128 Å, b = 4.128 Å, c = 3.977 Å
α = 90.00°, β = 90.00°, γ = 90.00°
Positions (direct):
Sn 0.000 0.000 0.000
O 0.000 0.000 0.500
N 0.000 0.500 0.000
N 0.500 0.000 0.000
Rh 0.500 0.500 0.500

# 2
An optimized crystal structure of HfScSb2, computed with PBE-GGA.

E_form (uncorrected) in eV/atom: -0.6130
Energy above the most stable polymorph in this dataset in meV per atom: 48
N(E_F) in states/eV per cell: 3.19
Calculated volume in Å³ per cell: 101
Symmetry: R3m (160)

a = 4.081 Å, b = 4.081 Å, c = 7.405 Å
α = 74.00°, β = 74.00°, γ = 60.00°
Positions (direct):
Sb 0.081 0.081 0.757
Sb 0.252 0.252 0.243
Hf 0.669 0.669 0.992
Sc 0.497 0.497 0.508

# 3
An optimized crystal structure of Ti2ZnH, computed with PBE-GGA.

Energy above the most stable polymorph in this dataset in meV per atom: 523
N(E_F) in states/eV per cell: 3.25
Calculated volume in Å³ per cell: 54
Symmetry: Fm-3m (225)

a = 4.239 Å, b = 4.239 Å, c = 4.239 Å
α = 60.00°, β = 60.00°, γ = 60.00°
Positions (direct):
Zn 0.500 0.500 0.500
Ti 0.750 0.750 0.750
Ti 0.250 0.250 0.250
H 0.000 0.000 0.000

# 4
An optimized crystal structure of TaAl2Zn, computed with PBE-GGA.

ΔE_f in meV per atom: -11
N(E_F) in states/eV per cell: 1.66
Calculated volume in Å³ per cell: 66
Symmetry: P4mm (99)

a = 2.787 Å, b = 2.787 Å, c = 8.480 Å
α = 90.00°, β = 90.00°, γ = 90.05°
Positions (direct):
Al 0.000 0.000 0.992
Al 0.500 0.500 0.255
Ta 0.000 0.000 0.500
Zn 0.500 0.500 0.753

# 5
An optimized crystal structure of Al2Pt2Pb, computed with PBE-GGA.

ΔE_f in meV per atom: -545
Energy above the most stable polymorph in this dataset in meV per atom: 142
N(E_F) in states/eV per cell: 6.40
Calculated volume in Å³ per cell: 178
Symmetry: P4/mbm (127)

a = 7.858 Å, b = 7.858 Å, c = 2.883 Å
α = 90.00°, β = 90.00°, γ = 90.00°
Positions (direct):
Al 0.362 0.862 0.000
Al 0.862 0.638 0.000
Al 0.638 0.138 0.000
Al 0.138 0.362 0.000
Pt 0.351 0.149 0.500
Pt 0.851 0.351 0.500
Pt 0.649 0.851 0.500
Pt 0.149 0.649 0.500
Pb 0.000 0.000 0.000
Pb 0.500 0.500 0.000

# 6
An optimized crystal structure of SrBeIn, computed with PBE-GGA.

ΔE_f in meV per atom: 195
Energy above the most stable polymorph in this dataset in meV per atom: 203
N(E_F) in states/eV per cell: 1.15
Calculated volume in Å³ per cell: 74
Symmetry: Fmm2 (42)

a = 6.500 Å, b = 6.498 Å, c = 3.505 Å
α = 74.38°, β = 74.33°, γ = 31.29°
Positions (direct):
In 0.368 0.368 0.632
Be 0.977 0.977 0.023
Sr 0.656 0.656 0.344